Entry 1:
# V4GaC2 (PBE-GGA, optimized geometry)
data_V4GaC2
_chemical_formula_sum 'V8 Ga2 C4'
_space_group_name_H-M_alt 'P 1'
_space_group_IT_number 1
_space_group_name_Hall 'P 1'
_cell_length_a 3.056
_cell_length_b 5.212
_cell_length_c 10.484
_cell_angle_alpha 90.00
_cell_angle_beta 90.00
_cell_angle_gamma 107.05
loop_
_atom_site_label
_atom_site_type_symbol
_atom_site_fract_x
_atom_site_fract_y
_atom_site_fract_z
_atom_site_occupancy
V1 V 0.756 0.513 0.104 1
V2 V 0.756 0.513 0.396 1
V3 V 0.244 0.487 0.896 1
V4 V 0.244 0.487 0.604 1
V5 V 0.909 0.818 0.750 1
V6 V 0.091 0.182 0.250 1
V7 V 0.500 0.000 0.000 1
V8 V 0.500 0.000 0.500 1
Ga1 Ga 0.608 0.216 0.750 1
Ga2 Ga 0.392 0.784 0.250 1
C1 C 0.134 0.268 0.441 1
C2 C 0.866 0.732 0.941 1
C3 C 0.134 0.268 0.059 1
C4 C 0.866 0.732 0.559 1
# Volume   11.4 Å³ per atom
# Uncorrected energy   -122.059 eV for the cell shown
# Energy relative to the elements   -440.1 meV per atom
# Mass density   6.2 g/cm³
# Space group   No. 63

***

Entry 2:
# V2GaC (PBE-GGA, optimized geometry)
data_V2GaC
_chemical_formula_sum 'V4 Ga2 C2'
_space_group_name_H-M_alt 'P 1'
_space_group_IT_number 1
_space_group_name_Hall 'P 1'
_cell_length_a 6.080
_cell_length_b 6.080
_cell_length_c 5.078
_cell_angle_alpha 53.23
_cell_angle_beta 53.23
_cell_angle_gamma 90.00
loop_
_atom_site_label
_atom_site_type_symbol
_atom_site_fract_x
_atom_site_fract_y
_atom_site_fract_z
_atom_site_occupancy
C1 C 0.500 0.500 0.000 1
C2 C 0.250 0.750 0.500 1
Ga1 Ga 0.000 0.000 0.000 1
Ga2 Ga 0.750 0.250 0.500 1
V1 V 0.555 0.125 0.250 1
V2 V 0.195 0.625 0.250 1
V3 V 0.375 0.445 0.750 1
V4 V 0.875 0.805 0.750 1
# Volume   12.5 Å³ per atom
# Uncorrected energy   -59.893 eV for the cell shown
# Energy relative to the elements   135.3 meV per atom
# Mass density   6.1 g/cm³
# Space group   No. 122

***

- Which of these has the highest uncorrected energy?
  V2GaC

***

- The highest energy relative to the elements belongs to which entry?
  V2GaC

***

- What is the formula in the second record?
  V2GaC